Entry 1:
# La6In3Pb | the Alexandria database | PBE | optimized geometry
# Formation enthalpy at 0 K in meV per atom: -327
# Total energy in eV/atom: -4.475
data_La6In3Pb
_symmetry_space_group_name_H-M 'P 1'
_symmetry_Int_Tables_number 1
_cell_length_a 10.506
_cell_length_b 10.506
_cell_length_c 7.137
_cell_angle_alpha 90.00
_cell_angle_beta 90.00
_cell_angle_gamma 122.68
loop_
_symmetry_equiv_pos_as_xyz
'x,y,z'
loop_
_atom_site_label
_atom_site_fract_x
_atom_site_fract_y
_atom_site_fract_z
La1 0.021 0.979 0.500
La2 0.087 0.534 0.046
La3 0.254 0.374 0.286
La4 0.291 0.709 0.525
La5 0.374 0.254 0.786
La6 0.466 0.913 0.046
La7 0.534 0.087 0.546
La8 0.626 0.746 0.286
La9 0.709 0.291 0.025
La10 0.746 0.626 0.786
La11 0.913 0.466 0.546
La12 0.979 0.021 0.000
In1 0.100 0.320 0.721
In2 0.320 0.100 0.221
In3 0.413 0.587 0.876
In4 0.587 0.413 0.376
In5 0.680 0.900 0.721
In6 0.900 0.680 0.221
Pb1 0.151 0.849 0.818
Pb2 0.849 0.151 0.318

***

Entry 2:
# Dy2Y3Ho4 | the Alexandria database | PBE | optimized geometry
# Formation enthalpy at 0 K in meV per atom: 101
# Total energy in eV/atom: -5.111
data_Dy2Y3Ho4
_symmetry_space_group_name_H-M 'P 1'
_symmetry_Int_Tables_number 1
_cell_length_a 9.929
_cell_length_b 9.929
_cell_length_c 6.120
_cell_angle_alpha 94.79
_cell_angle_beta 94.79
_cell_angle_gamma 71.07
loop_
_symmetry_equiv_pos_as_xyz
'x,y,z'
loop_
_atom_site_label
_atom_site_fract_x
_atom_site_fract_y
_atom_site_fract_z
Dy1 0.021 0.737 0.680
Dy2 0.263 0.979 0.820
Dy3 0.737 0.021 0.180
Dy4 0.979 0.263 0.320
Y1 0.097 0.903 0.250
Y2 0.236 0.431 0.414
Y3 0.431 0.236 0.914
Y4 0.569 0.764 0.086
Y5 0.764 0.569 0.586
Y6 0.903 0.097 0.750
Ho1 0.072 0.355 0.848
Ho2 0.312 0.595 0.985
Ho3 0.355 0.072 0.348
Ho4 0.405 0.688 0.515
Ho5 0.595 0.312 0.485
Ho6 0.645 0.928 0.652
Ho7 0.688 0.405 0.015
Ho8 0.928 0.645 0.152

***

Entry 3:
# Ca2AsC | the Alexandria database | PBE | optimized geometry
# Formation enthalpy at 0 K in meV per atom: 287
# Total energy in eV/atom: -4.182
data_Ca2AsC
_symmetry_space_group_name_H-M 'P 1'
_symmetry_Int_Tables_number 1
_cell_length_a 7.377
_cell_length_b 7.377
_cell_length_c 6.408
_cell_angle_alpha 90.00
_cell_angle_beta 90.00
_cell_angle_gamma 90.00
loop_
_symmetry_equiv_pos_as_xyz
'x,y,z'
loop_
_atom_site_label
_atom_site_fract_x
_atom_site_fract_y
_atom_site_fract_z
Ca1 0.195 0.750 0.125
Ca2 0.250 0.195 0.875
Ca3 0.250 0.305 0.375
Ca4 0.305 0.750 0.625
Ca5 0.695 0.250 0.625
Ca6 0.750 0.695 0.375
Ca7 0.750 0.805 0.875
Ca8 0.805 0.250 0.125
As1 0.000 0.000 0.500
As2 0.000 0.500 0.750
As3 0.500 0.000 0.250
As4 0.500 0.500 0.000
C1 0.000 0.000 0.000
C2 0.000 0.500 0.250
C3 0.500 0.000 0.750
C4 0.500 0.500 0.500

***

Entry 4:
# P2PdRh | the Alexandria database | PBE | optimized geometry
# Formation enthalpy at 0 K in meV per atom: -173
# Total energy in eV/atom: -6.014
data_P2PdRh
_symmetry_space_group_name_H-M 'P 1'
_symmetry_Int_Tables_number 1
_cell_length_a 3.000
_cell_length_b 3.000
_cell_length_c 24.028
_cell_angle_alpha 90.00
_cell_angle_beta 90.00
_cell_angle_gamma 120.00
loop_
_symmetry_equiv_pos_as_xyz
'x,y,z'
loop_
_atom_site_label
_atom_site_fract_x
_atom_site_fract_y
_atom_site_fract_z
P1 0.000 0.000 0.095
P2 0.000 0.000 0.905
P3 0.333 0.667 0.571
P4 0.333 0.667 0.762
P5 0.667 0.333 0.238
P6 0.667 0.333 0.429
Pd1 0.000 0.000 0.000
Pd2 0.333 0.667 0.667
Pd3 0.667 0.333 0.333
Rh1 0.000 0.000 0.500
Rh2 0.333 0.667 0.167
Rh3 0.667 0.333 0.833

***

Entry 5:
# MnNb6W | the Alexandria database | PBE | optimized geometry
# Formation enthalpy at 0 K in meV per atom: -19
# Total energy in eV/atom: -10.337
data_MnNb6W
_symmetry_space_group_name_H-M 'P 1'
_symmetry_Int_Tables_number 1
_cell_length_a 4.561
_cell_length_b 4.561
_cell_length_c 13.138
_cell_angle_alpha 90.00
_cell_angle_beta 90.00
_cell_angle_gamma 90.00
loop_
_symmetry_equiv_pos_as_xyz
'x,y,z'
loop_
_atom_site_label
_atom_site_fract_x
_atom_site_fract_y
_atom_site_fract_z
Mn1 0.000 0.000 0.000
Mn2 0.500 0.500 0.500
Nb1 0.000 0.000 0.251
Nb2 0.000 0.000 0.749
Nb3 0.000 0.500 0.119
Nb4 0.000 0.500 0.381
Nb5 0.000 0.500 0.619
Nb6 0.000 0.500 0.881
Nb7 0.500 0.000 0.119
Nb8 0.500 0.000 0.381
Nb9 0.500 0.000 0.619
Nb10 0.500 0.000 0.881
Nb11 0.500 0.500 0.249
Nb12 0.500 0.500 0.751
W1 0.000 0.000 0.500
W2 0.500 0.500 0.000

***

Entry 6:
# K4NdTm3Te8 | the Alexandria database | PBE | optimized geometry
# Energy relative to the elements, uncorrected in eV/atom: -1.38
# Total energy in eV/atom: -4.361
data_K4NdTm3Te8
_symmetry_space_group_name_H-M 'P 1'
_symmetry_Int_Tables_number 1
_cell_length_a 9.742
_cell_length_b 9.742
_cell_length_c 9.742
_cell_angle_alpha 54.96
_cell_angle_beta 54.96
_cell_angle_gamma 54.96
loop_
_symmetry_equiv_pos_as_xyz
'x,y,z'
loop_
_atom_site_label
_atom_site_fract_x
_atom_site_fract_y
_atom_site_fract_z
K1 0.000 0.000 0.000
K2 0.000 0.500 0.500
K3 0.500 0.000 0.500
K4 0.500 0.500 0.000
Nd1 0.500 0.500 0.500
Tm1 0.000 0.000 0.500
Tm2 0.000 0.500 0.000
Tm3 0.500 0.000 0.000
Te1 0.227 0.741 0.741
Te2 0.235 0.235 0.235
Te3 0.259 0.259 0.773
Te4 0.259 0.773 0.259
Te5 0.741 0.227 0.741
Te6 0.741 0.741 0.227
Te7 0.765 0.765 0.765
Te8 0.773 0.259 0.259

***

Entry 7:
# Al2CrPd2 | the Alexandria database | PBE | optimized geometry
# Formation enthalpy at 0 K in meV per atom: 94
# Total energy in eV/atom: -5.404
data_Al2CrPd2
_symmetry_space_group_name_H-M 'P 1'
_symmetry_Int_Tables_number 1
_cell_length_a 3.708
_cell_length_b 3.708
_cell_length_c 11.752
_cell_angle_alpha 90.00
_cell_angle_beta 90.00
_cell_angle_gamma 90.00
loop_
_symmetry_equiv_pos_as_xyz
'x,y,z'
loop_
_atom_site_label
_atom_site_fract_x
_atom_site_fract_y
_atom_site_fract_z
Al1 0.000 0.500 0.250
Al2 0.000 0.500 0.750
Al3 0.500 0.000 0.250
Al4 0.500 0.000 0.750
Cr1 0.000 0.000 0.000
Cr2 0.500 0.500 0.500
Pd1 0.000 0.000 0.392
Pd2 0.000 0.000 0.608
Pd3 0.500 0.500 0.108
Pd4 0.500 0.500 0.892

***

Entry 8:
# PmSnRh2 | the Alexandria database | PBE | optimized geometry
# Formation enthalpy at 0 K in meV per atom: -685
# Total energy in eV/atom: -6.549
data_PmSnRh2
_symmetry_space_group_name_H-M 'P 1'
_symmetry_Int_Tables_number 1
_cell_length_a 4.617
_cell_length_b 6.546
_cell_length_c 5.372
_cell_angle_alpha 90.00
_cell_angle_beta 90.00
_cell_angle_gamma 90.00
loop_
_symmetry_equiv_pos_as_xyz
'x,y,z'
loop_
_atom_site_label
_atom_site_fract_x
_atom_site_fract_y
_atom_site_fract_z
Pm1 0.250 0.250 0.185
Pm2 0.750 0.750 0.815
Sn1 0.250 0.750 0.292
Sn2 0.750 0.250 0.708
Rh1 0.250 0.030 0.672
Rh2 0.250 0.470 0.672
Rh3 0.750 0.530 0.328
Rh4 0.750 0.970 0.328